No. 1
Here is a relaxed structure of SmC2 from OQMD via LeMat-Bulk. Energies are from GGA-PBE.

Computed properties:
The calculation puts the total energy at -7.870 eV/atom. Its space group is I4/mmm (139). The value obtained for the excess energy over the best structure of this formula in the dataset is 0 meV per atom.

Lattice parameters (Å, degrees): 3.7681 3.7681 4.1493 117.01 117.01 90.00
Fractional coordinates of all 3 atoms:
C: 0.6021 0.6021 0.2042
C: 0.3979 0.3979 0.7958
Sm: 0.0000 0.0000 0.0000

No. 2
Here is a relaxed structure of TbHo3As4 from OQMD via LeMat-Bulk. Energies are from GGA-PBE.

Computed properties:
The calculation puts the total energy at -6.152 eV/atom. Its space group is Cmmm (65).

Lattice parameters (Å, degrees): 7.1066 7.1066 4.1045 90.00 90.00 109.47
Fractional coordinates of all 8 atoms:
As: 0.2517 0.2517 0.0000
As: 0.7483 0.7483 0.0000
As: 0.7492 0.2508 0.5000
As: 0.2508 0.7492 0.5000
Ho: 0.5000 0.0000 0.0000
Ho: 0.0000 0.5000 0.0000
Ho: 0.5000 0.5000 0.5000
Tb: 0.0000 0.0000 0.5000

No. 3
Here is a relaxed structure of ZrHCl from OQMD via LeMat-Bulk. Energies are from GGA-PBE.

Computed properties:
The calculation puts the total energy at -4.866 eV/atom. Its space group is P-3m1 (164).

Lattice parameters (Å, degrees): 3.3274 3.3274 11.0506 90.00 90.00 120.00
Fractional coordinates of all 6 atoms:
Cl: 0.0000 0.0000 0.2297
Cl: 0.0000 0.0000 0.7703
H: 0.6667 0.3333 0.0007
H: 0.3333 0.6667 0.9993
Zr: 0.3333 0.6667 0.3907
Zr: 0.6667 0.3333 0.6093

No. 4
Here is a relaxed structure of Cs2AgHgBr6 from OQMD via LeMat-Bulk. Energies are from GGA-PBE.

Computed properties:
The calculation puts the total energy at -2.423 eV/atom. Its space group is Fm-3m (225).

Lattice parameters (Å, degrees): 7.8531 7.8531 7.8531 60.00 60.00 60.00
Fractional coordinates of all 10 atoms:
Ag: 0.0000 0.0000 0.0000
Br: 0.7529 0.2471 0.2471
Br: 0.2471 0.7529 0.2471
Br: 0.7529 0.7529 0.2471
Br: 0.2471 0.2471 0.7529
Br: 0.7529 0.2471 0.7529
Br: 0.2471 0.7529 0.7529
Cs: 0.2500 0.2500 0.2500
Cs: 0.7500 0.7500 0.7500
Hg: 0.5000 0.5000 0.5000

What did the second record say?
Here is a relaxed structure of TbHo3As4 from OQMD via LeMat-Bulk. Energies are from GGA-PBE.

Computed properties:
The calculation puts the total energy at -6.152 eV/atom. Its space group is Cmmm (65).

Lattice parameters (Å, degrees): 7.1066 7.1066 4.1045 90.00 90.00 109.47
Fractional coordinates of all 8 atoms:
As: 0.2517 0.2517 0.0000
As: 0.7483 0.7483 0.0000
As: 0.7492 0.2508 0.5000
As: 0.2508 0.7492 0.5000
Ho: 0.5000 0.0000 0.0000
Ho: 0.0000 0.5000 0.0000
Ho: 0.5000 0.5000 0.5000
Tb: 0.0000 0.0000 0.5000